Record 1
An optimized crystal structure of AcHg3Au2, computed with PBE.

The structure belongs to space group P-1 (No. 2); the cell edges are 4.515, 9.152 and 9.167 Å and the angles 119.94°, 104.18° and 90.00°. The distinct sites, in fractional coordinates, are Ac at (0.136, 0.136, 0.272), Hg at (0.000, 0.347, 0.001), Hg at (0.332, 0.137, 0.665), Hg at (0.332, 0.528, 0.664), Au at (0.209, 0.708, 0.417) and Au at (0.500, 0.150, 0.000).

For the total energy, the calculation gives -27.79 eV for the cell shown. As for the energy of formation: -0.3877 eV per atom.

Record 2
An optimized crystal structure of CsMg2SiIr, computed with PBE.

The structure belongs to space group P4/mmm (No. 123); the cell edges are 5.274, 5.274 and 4.639 Å and the angles 90.00°, 90.00° and 90.00°. The distinct sites, in fractional coordinates, are Cs at (0.000, 0.000, 0.000), Mg at (0.000, 0.500, 0.500), Si at (0.500, 0.500, 0.000) and Ir at (0.500, 0.500, 0.500).

The value obtained for the uncorrected formation energy is -0.1864 eV per atom. For the total energy, the calculation gives -19.26 eV for the cell shown.

Record 3
An optimized crystal structure of CuAs2Pt, computed with PBE.

The structure belongs to space group Pmmm (No. 47); the cell edges are 3.159, 3.481 and 5.909 Å and the angles 90.00°, 90.00° and 90.00°. The distinct sites, in fractional coordinates, are Cu at (0.000, 0.000, 0.000), As at (0.500, 0.500, 0.251) and Pt at (0.000, 0.000, 0.500).

The value obtained for the energy above the lowest structure with this stoichiometry is 0.136 eV/atom. For the total energy, the calculation gives -19.13 eV for the cell shown. As for the energy of formation: 0.0757 eV per atom.

Record 4
An optimized crystal structure of Y2Hg4C, computed with PBE.

The structure belongs to space group I4/mmm (No. 139); the cell edges are 4.577, 4.577 and 16.174 Å and the angles 90.00°, 90.00° and 90.00°. The distinct sites, in fractional coordinates, are Y at (0.000, 0.000, 0.161), Hg at (0.000, 0.000, 0.342), Hg at (0.000, 0.500, 0.000) and C at (0.000, 0.000, 0.500).

For the total energy, the calculation gives -40.77 eV for the cell shown. As for the energy of formation: 0.4246 eV per atom.